Entry 1:
Below is AcZn3Rh after structural relaxation, with properties calculated at the GGA-PBE level.

a = 4.533 Å, b = 4.539 Å, c = 6.193 Å
α = 111.50°, β = 90.00°, γ = 90.00°
Fractional positions:
Zn: 0.500 0.773 0.547
Rh: 0.500 0.374 0.748
Zn: 0.000 0.489 0.978
Zn: 0.000 0.265 0.530
Ac: 0.500 0.059 0.117

Properties
calculated volume = 119 Å³/cell
formation energy from the elements = -0.220 eV per atom
E above lowest polymorph = 205.4 meV per atom
crystal system = orthorhombic
raw total energy = -16.380 eV per cell



Entry 2:
Below is CaGaMo3 after structural relaxation, with properties calculated at the GGA-PBE level.

a = 4.634 Å, b = 4.634 Å, c = 4.634 Å
α = 90.00°, β = 90.00°, γ = 90.00°
Fractional positions:
Ga: 0.500 0.500 0.500
Mo: 0.500 0.000 0.000
Mo: 0.000 0.000 0.500
Ca: 0.000 0.000 0.000
Mo: 0.000 0.500 0.000

Properties
calculated volume = 100 Å³/cell
formation energy from the elements = 2.536 eV per atom
E above lowest polymorph = 1222.8 meV per atom
crystal system = cubic
raw total energy = -24.843 eV per cell



Entry 3:
Below is LiCo2Hg after structural relaxation, with properties calculated at the GGA-PBE level.

a = 2.951 Å, b = 2.997 Å, c = 7.102 Å
α = 65.01°, β = 90.00°, γ = 90.00°
Last column: magnetic moment on the atom in μB.
Fractional positions:
Hg: 0.000 0.501 0.499  -0.02
Co: 0.000 0.973 0.028  1.76
Co: 0.500 0.305 0.195  1.70
Li: 0.500 0.722 0.778  -0.03

Properties
calculated volume = 57 Å³/cell
formation energy from the elements = 0.136 eV per atom
crystal system = orthorhombic
raw total energy = -15.885 eV per cell



Entry 4:
Below is H2IrI6 after structural relaxation, with properties calculated at the GGA-PBE level.

a = 6.876 Å, b = 9.770 Å, c = 9.770 Å
α = 76.11°, β = 86.47°, γ = 86.47°
Fractional positions:
I: 0.151 0.450 0.286
I: 0.910 0.169 0.025
H: 0.351 0.554 0.658
I: 0.651 0.286 0.450
Ir: 0.250 0.086 0.914
H: 0.649 0.446 0.342
I: 0.090 0.831 0.975
I: 0.873 0.870 0.347
I: 0.410 0.025 0.169
I: 0.849 0.550 0.714
I: 0.373 0.347 0.870
I: 0.627 0.653 0.130
Ir: 0.750 0.914 0.086
I: 0.349 0.714 0.550
I: 0.127 0.130 0.653
H: 0.149 0.342 0.446
H: 0.851 0.658 0.554
I: 0.590 0.975 0.831

Properties
calculated volume = 635 Å³/cell
crystal system = monoclinic
raw total energy = -49.203 eV per cell



Entry 5:
Below is RbFeCl4 after structural relaxation, with properties calculated at the GGA-PBE level.

a = 4.911 Å, b = 7.140 Å, c = 10.205 Å
α = 90.00°, β = 103.92°, γ = 90.00°
Last column: magnetic moment on the atom in μB.
Fractional positions:
Rb: 0.406 0.750 0.813  0.00
Cl: 0.827 0.488 0.654  0.24
Rb: 0.594 0.250 0.187  0.00
Cl: 0.173 0.988 0.346  0.24
Cl: 0.579 0.750 0.159  0.17
Cl: 0.173 0.512 0.346  0.24
Fe: 0.900 0.250 0.799  3.85
Fe: 0.100 0.750 0.201  3.85
Cl: 0.000 0.000 0.000  0.12
Cl: 0.827 0.012 0.654  0.24
Cl: 0.000 0.500 0.000  0.12
Cl: 0.421 0.250 0.841  0.17

Properties
calculated volume = 347 Å³/cell
E above lowest polymorph = 133.3 meV per atom
raw formation energy = -1.113 eV/atom
crystal system = orthorhombic
raw total energy = -46.986 eV per cell



Entry 6:
Below is Pu4TlRh2 after structural relaxation, with properties calculated at the GGA-PBE level.

a = 4.926 Å, b = 4.926 Å, c = 7.771 Å
α = 71.52°, β = 71.52°, γ = 60.00°
Last column: magnetic moment on the atom in μB.
Fractional positions:
Tl: 0.000 0.000 0.000  -0.06
Rh: 0.864 0.864 0.408  -0.31
Rh: 0.136 0.136 0.592  -0.31
Pu: 0.738 0.738 0.786  5.21
Pu: 0.262 0.262 0.214  5.21
Pu: 0.570 0.570 0.290  5.29
Pu: 0.430 0.430 0.710  5.29

Properties
calculated volume = 152 Å³/cell
formation energy from the elements = -0.132 eV per atom
crystal system = trigonal
raw total energy = -75.323 eV per cell



Entry 7:
Below is PrSm3Dy2Tm6 after structural relaxation, with properties calculated at the GGA-PBE level.

a = 6.156 Å, b = 6.156 Å, c = 11.692 Å
α = 95.02°, β = 95.02°, γ = 119.98°
Fractional positions:
Sm: 0.167 0.833 0.500
Sm: 0.500 0.500 0.500
Tm: 0.417 0.083 0.250
Pr: 0.000 0.000 0.000
Tm: 0.083 0.417 0.250
Dy: 0.333 0.667 0.000
Tm: 0.917 0.583 0.750
Tm: 0.749 0.749 0.250
Sm: 0.833 0.167 0.500
Tm: 0.251 0.251 0.750
Dy: 0.667 0.333 0.000
Tm: 0.583 0.917 0.750

Properties
calculated volume = 378 Å³/cell
formation energy from the elements = 0.020 eV per atom
crystal system = monoclinic
raw total energy = -54.732 eV per cell



Entry 8:
Below is CsHfIrPt2 after structural relaxation, with properties calculated at the GGA-PBE level.

a = 4.935 Å, b = 5.227 Å, c = 4.935 Å
α = 90.00°, β = 90.00°, γ = 90.00°
Fractional positions:
Cs: 0.000 0.000 0.000
Ir: 0.500 0.500 0.500
Pt: 0.000 0.000 0.500
Pt: 0.500 0.000 0.000
Hf: 0.000 0.500 0.000

Properties
calculated volume = 127 Å³/cell
formation energy from the elements = 2.675 eV per atom
crystal system = tetragonal
raw total energy = -18.373 eV per cell



Entry 9:
Below is ZrSc after structural relaxation, with properties calculated at the GGA-PBE level.

a = 11.287 Å, b = 11.287 Å, c = 3.047 Å
α = 90.00°, β = 90.00°, γ = 90.00°
Fractional positions:
Sc: 0.652 0.908 0.500
Zr: 0.403 0.334 0.000
Sc: 0.092 0.652 0.500
Zr: 0.097 0.166 0.500
Sc: 0.592 0.152 0.000
Zr: 0.834 0.097 0.500
Zr: 0.334 0.597 0.000
Zr: 0.666 0.403 0.000
Sc: 0.152 0.408 0.000
Zr: 0.597 0.666 0.000
Sc: 0.408 0.848 0.000
Sc: 0.348 0.092 0.500
Sc: 0.908 0.348 0.500
Zr: 0.166 0.903 0.500
Sc: 0.848 0.592 0.000
Zr: 0.903 0.834 0.500

Properties
calculated volume = 388 Å³/cell
formation energy from the elements = 0.303 eV per atom
crystal system = tetragonal
raw total energy = -114.197 eV per cell



Entry 10:
Below is Mo3Cl after structural relaxation, with properties calculated at the GGA-PBE level.

a = 4.480 Å, b = 4.480 Å, c = 4.480 Å
α = 60.00°, β = 60.00°, γ = 60.00°
Fractional positions:
Mo: 0.500 0.500 0.500
Mo: 0.750 0.750 0.750
Cl: 0.000 0.000 0.000
Mo: 0.250 0.250 0.250

Properties
calculated volume = 64 Å³/cell
E above lowest polymorph = 700.3 meV per atom
raw formation energy = 0.953 eV/atom
crystal system = cubic
raw total energy = -30.529 eV per cell



Entry 11:
Below is KAc2Pu3Se6 after structural relaxation, with properties calculated at the GGA-PBE level.

a = 4.291 Å, b = 8.768 Å, c = 9.731 Å
α = 103.64°, β = 102.74°, γ = 90.00°
Last column: magnetic moment on the atom in μB.
Fractional positions:
Pu: 0.166 0.833 0.333  5.44
Se: 0.327 0.928 0.655  -0.06
Ac: 0.166 0.333 0.332  0.02
Pu: 0.500 0.500 0.000  -5.33
Se: 0.673 0.072 0.345  -0.06
Se: 0.996 0.269 0.993  0.03
Se: 0.337 0.405 0.675  -0.02
Se: 0.663 0.595 0.325  -0.02
K: 0.500 0.000 0.000  0.00
Ac: 0.834 0.667 0.668  0.02
Se: 0.004 0.731 0.007  0.03
Pu: 0.834 0.167 0.667  5.44

Properties
calculated volume = 347 Å³/cell
raw formation energy = -1.604 eV/atom
crystal system = monoclinic
raw total energy = -92.461 eV per cell



Entry 12:
Below is Sm2Re2N5 after structural relaxation, with properties calculated at the GGA-PBE level.

a = 3.822 Å, b = 6.064 Å, c = 6.027 Å
α = 106.93°, β = 90.00°, γ = 108.37°
Fractional positions:
Sm: 0.385 0.770 0.699
N: 0.844 0.688 0.441
Re: 0.864 0.728 0.146
N: 0.321 0.641 0.042
Sm: 0.615 0.230 0.301
Re: 0.136 0.272 0.854
N: 0.156 0.312 0.559
N: 0.000 0.000 0.000
N: 0.679 0.359 0.958

Properties
calculated volume = 126 Å³/cell
E above lowest polymorph = 110.8 meV per atom
raw formation energy = -0.564 eV/atom
crystal system = monoclinic
raw total energy = -81.035 eV per cell



Entry 13:
Below is OsPtSe2 after structural relaxation, with properties calculated at the GGA-PBE level.

a = 4.523 Å, b = 4.523 Å, c = 4.523 Å
α = 60.00°, β = 60.00°, γ = 60.00°
Fractional positions:
Se: 0.750 0.750 0.750
Se: 0.250 0.250 0.250
Pt: 0.500 0.500 0.500
Os: 0.000 0.000 0.000

Properties
calculated volume = 65 Å³/cell
E above lowest polymorph = 462.9 meV per atom
raw formation energy = 0.629 eV/atom
crystal system = cubic
raw total energy = -21.726 eV per cell



Entry 14:
Below is LaCu2Tc after structural relaxation, with properties calculated at the GGA-PBE level.

a = 4.543 Å, b = 3.100 Å, c = 5.356 Å
α = 73.26°, β = 90.00°, γ = 90.00°
Fractional positions:
La: 0.500 0.250 0.250
Cu: 0.000 0.569 0.561
Tc: 0.500 0.750 0.750
Cu: 0.000 0.931 0.939

Properties
calculated volume = 72 Å³/cell
formation energy from the elements = 0.294 eV per atom
E above lowest polymorph = 191.2 meV per atom
crystal system = monoclinic
raw total energy = -22.310 eV per cell



Entry 15:
Below is Nd2Er3ScSe6 after structural relaxation, with properties calculated at the GGA-PBE level.

a = 4.056 Å, b = 8.228 Å, c = 9.126 Å
α = 103.27°, β = 102.84°, γ = 90.00°
Fractional positions:
Sc: 0.500 0.000 0.000
Se: 0.995 0.240 0.989
Nd: 0.168 0.335 0.336
Se: 0.661 0.069 0.322
Er: 0.172 0.836 0.344
Nd: 0.832 0.665 0.664
Se: 0.338 0.407 0.677
Se: 0.662 0.593 0.323
Er: 0.828 0.164 0.656
Se: 0.339 0.931 0.678
Er: 0.500 0.500 0.000
Se: 0.005 0.760 0.011

Properties
calculated volume = 289 Å³/cell
raw formation energy = -1.714 eV/atom
crystal system = monoclinic
raw total energy = -71.027 eV per cell